(1)
DFT (PBE) results for an optimized crystal structure of PmErMnAl.

```
4
Lattice="-4.946 -0.602 -1.178 -1.434 -3.734 -3.196 -2.582 -4.046 1.784" Properties=species:S:1:pos:R:3 pbc="T T T"
Pm -6.722 -6.286 -1.943
Al -4.481 -4.191 -1.295
Mn 0.000 0.000 0.000
Er -2.241 -2.095 -0.648
```

Results
D(E_F), states/eV/cell: 4.330
Symmetry: F-43m, No. 216
DFT formation energy, eV per atom: -0.051
Raw total energy, eV/atom: -5.61


(2)
DFT (PBE) results for an optimized crystal structure of Er2MnAl4Pt3.

```
10
Lattice="-3.485 1.885 0.926 -1.856 -3.604 0.352 2.652 -0.327 10.646" Properties=species:S:1:pos:R:3 pbc="T T T"
Er -1.072 0.860 3.154
Er 1.054 -2.046 8.131
Mn -1.344 -1.022 5.962
Al -2.671 -0.859 0.639
Al 0.000 0.000 0.000
Al -0.058 0.735 7.223
Al 0.040 -1.921 4.062
Pt 1.326 -0.163 5.323
Pt 0.542 0.661 9.633
Pt -0.560 -1.847 1.653
```

Results
D(E_F), states/eV/cell: 4.882
Symmetry: P-4m2, No. 115
DFT formation energy, eV per atom: -0.916
Raw total energy, eV/atom: -6.06


(3)
DFT (PBE) results for an optimized crystal structure of ErPuMnAl.

```
4
Lattice="-1.551 1.741 -4.436 -4.174 -1.826 -2.088 -4.116 2.846 -0.275" Properties=species:S:1:pos:R:3 pbc="T T T"
Er -4.921 1.381 -3.400
Al -2.460 0.690 -1.700
Mn -7.381 2.071 -5.100
Pu 0.000 0.000 0.000
```

Results
D(E_F), states/eV/cell: 13.067
Symmetry: F-43m, No. 216
DFT formation energy, eV per atom: 0.155
Raw total energy, eV/atom: -7.80


(4)
DFT (PBE) results for an optimized crystal structure of ErMnAlRu.

```
4
Lattice="4.548 0.000 0.000 2.274 3.939 0.000 2.274 1.313 3.713" Properties=species:S:1:pos:R:3 pbc="T T T"
Ru 6.822 3.939 2.785
Mn 2.274 1.313 0.928
Al 4.548 2.626 1.857
Er 0.000 0.000 0.000
```

Results
D(E_F), states/eV/cell: 0.957
Symmetry: F-43m, No. 216
DFT formation energy, eV per atom: -0.270
Raw total energy, eV/atom: -6.96


(5)
DFT (PBE) results for an optimized crystal structure of Er2MnAl2Ru5.

```
20
Lattice="-1.140 0.982 -2.909 -8.005 -5.812 1.175 -4.810 7.519 4.424" Properties=species:S:1:pos:R:3 pbc="T T T"
Er -6.194 -2.614 1.545
Er -6.621 4.321 4.055
Er -2.951 1.480 1.657
Er -9.864 0.227 3.943
Mn 0.000 0.000 0.000
Mn -6.408 0.854 2.800
Al -4.059 3.980 2.935
Al -8.756 -2.273 2.665
Al -9.225 2.892 4.593
Al -3.590 -1.185 1.007
Ru -2.420 -0.156 -0.948
Ru -11.535 2.846 3.639
Ru -4.957 6.191 2.190
Ru -8.220 -0.253 1.293
Ru -8.999 -3.502 0.501
Ru -5.735 2.942 1.398
Ru -8.412 2.430 2.274
Ru -5.543 0.260 0.417
Ru -4.573 -2.415 -0.867
Ru -2.975 4.251 0.758
```

Results
D(E_F), states/eV/cell: 15.202
Symmetry: P4/mbm, No. 127
DFT formation energy, eV per atom: -0.302
Raw total energy, eV/atom: -7.52


(6)
DFT (PBE) results for an optimized crystal structure of ErMnAlS4.

```
14
Lattice="-5.609 -0.682 -4.879 -7.050 -0.540 2.469 -4.729 5.708 -1.072" Properties=species:S:1:pos:R:3 pbc="T T T"
Er 0.000 0.000 0.000
Er -5.889 2.584 0.698
Mn -5.169 2.513 -2.976
Mn -2.364 2.854 -0.536
Al -8.466 -0.085 -1.677
Al -8.921 4.570 -1.805
S -13.093 3.333 -2.547
S -10.228 3.616 -0.169
S -7.159 0.869 -3.313
S -4.294 1.153 -0.935
S -7.921 0.864 0.354
S -10.662 0.531 -2.030
S -6.726 3.955 -1.452
S -9.466 3.622 -3.836
```

Results
Raw formation energy, eV/atom: -1.23
D(E_F), states/eV/cell: 1.546
Symmetry: Imma, No. 74
Raw total energy, eV/atom: -6.08


(7)
DFT (PBE) results for an optimized crystal structure of ErThMnAl.

```
4
Lattice="-4.354 -2.639 0.401 -2.498 -1.460 -4.208 -0.126 -4.934 -1.312" Properties=species:S:1:pos:R:3 pbc="T T T"
Mn 0.000 0.000 0.000
Al -3.488 -4.516 -2.560
Th -1.744 -2.258 -1.280
Er -5.233 -6.774 -3.839
```

Results
D(E_F), states/eV/cell: 3.613
Symmetry: F-43m, No. 216
DFT formation energy, eV per atom: -0.011
Raw total energy, eV/atom: -6.23


(8)
DFT (PBE) results for an optimized crystal structure of ErTmMnAl.

```
4
Lattice="5.018 0.000 0.000 2.509 4.346 0.000 2.509 1.449 4.097" Properties=species:S:1:pos:R:3 pbc="T T T"
Tm 2.509 1.449 1.024
Al 0.000 0.000 0.000
Mn 5.018 2.897 2.049
Er 7.527 4.346 3.073
```

Results
D(E_F), states/eV/cell: 4.813
Symmetry: F-43m, No. 216
DFT formation energy, eV per atom: -0.090
Raw total energy, eV/atom: -5.58